Entry 1:
First-principles (PBE-GGA) data for a relaxed Li5CaPb6 crystal, as listed in the Alexandria database.

Cell lengths 5.122, 7.359, 8.887 Å; angles 114.46, 106.87, 90.01 degrees
Positions (direct):
Pb 0.172 0.438 0.343
Pb 0.172 0.905 0.343
Pb 0.500 0.277 0.000
Pb 0.500 0.723 0.000
Pb 0.828 0.095 0.657
Pb 0.828 0.562 0.657
Ca 0.000 0.000 0.000
Li 0.335 0.836 0.672
Li 0.675 0.673 0.347
Li 0.000 0.500 0.000
Li 0.325 0.327 0.653
Li 0.665 0.164 0.328

Computed properties:
The calculation puts the total moment at 0.0 Bohr magnetons per cell. Its density of states at the Fermi level is 4.60 states/eV per cell. The value obtained for the formation energy is -0.304 eV/atom. As for the space-group type: C2/m (12). For the density, the calculation gives 7.6 Mg/m³.

Entry 2:
First-principles (PBE-GGA) data for a relaxed KSc2C crystal, as listed in the Alexandria database.

Cell lengths 7.006, 7.006, 7.002 Å; angles 59.98, 59.98, 90.00 degrees
Positions (direct):
Sc 0.376 0.125 0.250
Sc 0.374 0.625 0.250
Sc 0.375 0.624 0.750
Sc 0.875 0.626 0.750
K 0.000 0.000 0.000
K 0.750 0.250 0.500
C 0.500 0.500 0.000
C 0.250 0.750 0.500

Computed properties:
The calculation puts the total moment at 0.0 Bohr magnetons per cell. Its density of states at the Fermi level is 9.78 states/eV per cell. The value obtained for the formation energy is 0.263 eV/atom. As for the space-group type: I-42d (122). For the density, the calculation gives 1.9 Mg/m³.

Entry 3:
First-principles (PBE-GGA) data for a relaxed BaCo2Ge2 crystal, as listed in the Alexandria database.

Cell lengths 4.212, 4.212, 6.287 Å; angles 70.43, 70.43, 90.00 degrees
Positions (direct):
Ge 0.750 0.250 0.500
Ge 0.250 0.750 0.500
Co 0.356 0.356 0.289
Co 0.644 0.644 0.711
Ba 0.000 0.000 0.000

Computed properties:
The calculation puts the total moment at 0.0 Bohr magnetons per cell. Its density of states at the Fermi level is 4.50 states/eV per cell. The value obtained for the formation energy is -0.071 eV/atom. As for the space-group type: I4/mmm (139). For the density, the calculation gives 6.8 Mg/m³.